1.
A relaxed BOs2Au crystal, computed with GGA-PBE.

ΔH_f (0 K) = 4.3 eV per formula unit
total moment = 0.000 μB/atom
Fermi-level density of states = 4.89 states/eV per cell

Cell: 7.6250 7.6250 7.6250 Å, 146.15 146.15 48.63°
Atoms (fractional coordinates):
B1 0.0000 0.0000 0.0000
B2 0.7500 0.2500 0.5000
Os1 0.3750 0.2439 0.3689
Os2 0.7561 0.1250 0.1311
Os3 0.8750 0.0061 0.6311
Os4 0.9939 0.6250 0.8689
Au1 0.2500 0.7500 0.5000
Au2 0.5000 0.5000 0.0000

***

2.
A relaxed Rb2ZrScBr6 crystal, computed with GGA-PBE.

total moment = 0.300 μB/atom
Fermi-level density of states = 4.34 states/eV per cell
energy relative to the elements, uncorrected = -1.37 eV per atom

Cell: 7.7815 7.7815 7.7815 Å, 60.00 60.00 60.00°
Atoms (fractional coordinates):
Rb1 0.2500 0.2500 0.2500
Rb2 0.7500 0.7500 0.7500
Zr1 0.0000 0.0000 0.0000
Sc1 0.5000 0.5000 0.5000
Br1 0.2529 0.2529 0.7471
Br2 0.2529 0.7471 0.2529
Br3 0.2529 0.7471 0.7471
Br4 0.7471 0.2529 0.2529
Br5 0.7471 0.2529 0.7471
Br6 0.7471 0.7471 0.2529

***

3.
A relaxed CaC3F crystal, computed with GGA-PBE.

energy above the most stable polymorph in this dataset = 0.0000 eV/atom
total moment = 0.000 μB/atom
Fermi-level density of states = 4.13 states/eV per cell
energy relative to the elements, uncorrected = 2.46 eV per atom

Cell: 3.9508 3.9508 3.9508 Å, 90.00 90.00 90.00°
Atoms (fractional coordinates):
Ca1 0.0000 0.0000 0.0000
C1 0.0000 0.5000 0.5000
C2 0.5000 0.0000 0.5000
C3 0.5000 0.5000 0.0000
F1 0.5000 0.5000 0.5000

***

4.
A relaxed CaY2Tc crystal, computed with GGA-PBE.

energy above the most stable polymorph in this dataset = 0.7918 eV/atom
ΔH_f (0 K) = 3.2 eV per formula unit
total moment = 0.000 μB/atom
Fermi-level density of states = 4.57 states/eV per cell

Cell: 7.8685 7.8685 7.8685 Å, 118.68 118.68 92.31°
Atoms (fractional coordinates):
Ca1 0.0000 0.0000 0.0000
Ca2 0.7500 0.2500 0.5000
Y1 0.3321 0.1250 0.7071
Y2 0.3750 0.6679 0.7929
Y3 0.4179 0.6250 0.2929
Y4 0.8750 0.5821 0.2071
Tc1 0.2500 0.7500 0.5000
Tc2 0.5000 0.5000 0.0000

***

5.
A relaxed BaB2RuO6 crystal, computed with GGA-PBE.

total moment = 0.200 μB/atom
Fermi-level density of states = 4.01 states/eV per cell
energy relative to the elements, uncorrected = -2.09 eV per atom

Cell: 6.4892 6.4892 6.4892 Å, 45.87 45.87 45.87°
Atoms (fractional coordinates):
Ba1 0.0000 0.0000 0.0000
B1 0.2285 0.2285 0.2285
B2 0.7715 0.7715 0.7715
Ru1 0.5000 0.5000 0.5000
O1 0.0685 0.5369 0.6937
O2 0.3063 0.9315 0.4631
O3 0.4631 0.3063 0.9315
O4 0.5369 0.6937 0.0685
O5 0.6937 0.0685 0.5369
O6 0.9315 0.4631 0.3063

***

6.
A relaxed PaNbPbO6 crystal, computed with GGA-PBE.

total moment = 0.000 μB/atom
Fermi-level density of states = 0.00 states/eV per cell
energy relative to the elements, uncorrected = -2.65 eV per atom

Cell: 5.7096 5.7096 10.4199 Å, 90.00 90.00 120.00°
Atoms (fractional coordinates):
Pa1 0.3333 0.6667 0.2500
Pa2 0.6667 0.3333 0.7500
Nb1 0.3333 0.6667 0.7500
Nb2 0.6667 0.3333 0.2500
Pb1 0.0000 0.0000 0.0000
Pb2 0.0000 0.0000 0.5000
O1 0.0202 0.3837 0.6450
O2 0.0202 0.6365 0.8550
O3 0.3635 0.3837 0.8550
O4 0.3635 0.9798 0.6450
O5 0.3837 0.0202 0.1450
O6 0.3837 0.3635 0.3550
O7 0.6163 0.6365 0.6450
O8 0.6163 0.9798 0.8550
O9 0.6365 0.0202 0.3550
O10 0.6365 0.6163 0.1450
O11 0.9798 0.3635 0.1450
O12 0.9798 0.6163 0.3550

***

7.
A relaxed Tb2CeErS6 crystal, computed with GGA-PBE.

total moment = 0.101 μB/atom
Fermi-level density of states = 4.86 states/eV per cell
energy relative to the elements, uncorrected = -2.02 eV per atom

Cell: 7.3987 7.3987 7.3987 Å, 56.39 56.39 56.39°
Atoms (fractional coordinates):
Tb1 0.0000 0.0000 0.0000
Tb2 0.4963 0.4963 0.4963
Ce1 0.2926 0.2926 0.2926
Er1 0.7979 0.7979 0.7979
S1 0.0920 0.4019 0.7012
S2 0.1976 0.8822 0.6122
S3 0.4019 0.7012 0.0920
S4 0.6122 0.1976 0.8822
S5 0.7012 0.0920 0.4019
S6 0.8822 0.6122 0.1976

***

8.
A relaxed CrP2 crystal, computed with GGA-PBE.

ΔH_f (0 K) = -0.5 eV per formula unit
total moment = 0.000 μB/atom
Fermi-level density of states = 1.81 states/eV per cell

Cell: 4.5030 4.5030 6.4077 Å, 100.68 100.68 39.00°
Atoms (fractional coordinates):
Cr1 0.0000 0.0000 0.0000
Cr2 0.6130 0.6130 0.3899
P1 0.1036 0.1036 0.6802
P2 0.3342 0.3342 0.4256
P3 0.3568 0.3568 0.7728
P4 0.7175 0.7175 0.0842

***

9.
A relaxed V6Mo2Pt crystal, computed with GGA-PBE.

ΔH_f (0 K) = 3.2 eV per formula unit
total moment = 0.000 μB/atom
Fermi-level density of states = 11.36 states/eV per cell

Cell: 6.9406 6.9406 6.9406 Å, 142.55 136.90 58.40°
Atoms (fractional coordinates):
V1 0.0541 0.8070 0.2471
V2 0.2410 0.0000 0.2410
V3 0.4401 0.1930 0.2471
V4 0.5599 0.8070 0.7529
V5 0.7590 0.0000 0.7590
V6 0.9459 0.1930 0.7529
Mo1 0.1076 0.6076 0.5000
Mo2 0.8924 0.3924 0.5000
Pt1 0.5000 0.5000 0.0000

***

10.
A relaxed GaTcHPt2 crystal, computed with GGA-PBE.

E = -5.833 eV per atom
total moment = 0.115 μB/atom
Fermi-level density of states = 3.58 states/eV per cell

Cell: 3.8865 3.8865 4.2139 Å, 90.00 90.00 90.00°
Atoms (fractional coordinates):
Ga1 0.0000 0.0000 0.0000
Tc1 0.5000 0.5000 0.0000
H1 0.5000 0.5000 0.5000
Pt1 0.0000 0.5000 0.5000
Pt2 0.5000 0.0000 0.5000

***

11.
A relaxed Ga4Ir2Ru crystal, computed with GGA-PBE.

ΔH_f (0 K) = -2.5 eV per formula unit
total moment = 0.000 μB/atom
Fermi-level density of states = 2.23 states/eV per cell

Cell: 5.2171 5.2171 5.2171 Å, 109.20 109.20 110.01°
Atoms (fractional coordinates):
Ga1 0.0000 0.0000 0.5000
Ga2 0.0000 0.5000 0.0000
Ga3 0.5000 0.0000 0.0000
Ga4 0.5000 0.5000 0.5000
Ir1 0.0000 0.5000 0.5000
Ir2 0.5000 0.0000 0.5000
Ru1 0.0000 0.0000 0.0000

***

12.
A relaxed Ce3GaSi6Rh2 crystal, computed with GGA-PBE.

total moment = 0.001 μB/atom
Fermi-level density of states = 12.07 states/eV per cell
energy relative to the elements, uncorrected = -0.41 eV per atom

Cell: 5.3523 5.3523 9.1807 Å, 90.00 90.00 120.00°
Atoms (fractional coordinates):
Ce1 0.0000 0.0000 0.0000
Ce2 0.3333 0.6667 0.5785
Ce3 0.6667 0.3333 0.4215
Ga1 0.0000 0.0000 0.5000
Si1 0.1744 0.3488 0.2723
Si2 0.1744 0.8256 0.2723
Si3 0.3488 0.1744 0.7277
Si4 0.6512 0.8256 0.2723
Si5 0.8256 0.1744 0.7277
Si6 0.8256 0.6512 0.7277
Rh1 0.3333 0.6667 0.0649
Rh2 0.6667 0.3333 0.9351